Compound: BPbAu2
Source: Alexandria
Functional: PBE-GGA
Structure: relaxed

Cell: 5.324 5.324 12.820 Å, 90.00 90.00 90.00°
Element x y z (fractional)
B (0.000, 0.000, 0.000)
B (0.000, 0.500, 0.250)
B (0.500, 0.000, 0.750)
B (0.500, 0.500, 0.500)
Pb (0.000, 0.000, 0.500)
Pb (0.000, 0.500, 0.750)
Pb (0.500, 0.000, 0.250)
Pb (0.500, 0.500, 0.000)
Au (0.107, 0.250, 0.125)
Au (0.250, 0.607, 0.375)
Au (0.250, 0.893, 0.875)
Au (0.393, 0.250, 0.625)
Au (0.607, 0.750, 0.625)
Au (0.750, 0.107, 0.875)
Au (0.750, 0.393, 0.375)
Au (0.893, 0.750, 0.125)

Results
VASP energy (eV/atom): -3.841